# PPdSe2N | Alexandria | PBE | optimized geometry
# final energy = -0.3452 Ry/atom
# N(E_F) = 2.93 states/eV per cell
# crystal system = tetragonal
# raw formation energy = 2.4 eV/f.u.
# volume = 16.02 Å³/atom
# ΔE to the lowest computed polymorph = 0.0 meV/atom
data_PPdSe2N
_cell_length_a 5.0182
_cell_length_b 5.0182
_cell_length_c 3.1815
_cell_angle_alpha 90.00
_cell_angle_beta 90.00
_cell_angle_gamma 90.00
_symmetry_space_group_name_H-M 'P 4/m m m'
_symmetry_Int_Tables_number 123
_symmetry_space_group_name_Hall '-P 4 2'
loop_
_atom_site_label
_atom_site_type_symbol
_atom_site_fract_x
_atom_site_fract_y
_atom_site_fract_z
P1 P 0.0000 0.0000 0.0000
Pd1 Pd 0.5000 0.5000 0.5000
Se1 Se 0.0000 0.5000 0.0000
N1 N 0.0000 0.0000 0.5000